(1)
A plane-wave DFT calculation with PBE was carried out for an optimized crystal structure of CaMn4Te.

```
6
Lattice="2.5204 0.1342 4.9222 1.4353 4.8494 2.2411 -2.6985 1.9026 4.4381" Properties=species:S:1:pos:R:3 pbc="T T T"
Mn 1.7498 2.6363 6.8283
Mn 1.1983 5.0328 5.4656
Mn 0.4688 2.5681 4.3266
Mn -0.9027 3.5351 6.5823
Te 0.9428 5.1647 8.7010
Ca 0.0000 0.0000 0.0000
```

The raw formation energy is 390.9 meV/atom.

---

(2)
A plane-wave DFT calculation with PBE was carried out for an optimized crystal structure of SrScIn.

```
6
Lattice="7.3749 -0.0027 -0.0013 0.0021 5.3146 0.0216 0.0017 2.6391 4.6143" Properties=species:S:1:pos:R:3 pbc="T T T"
In 4.6977 4.4622 0.5137
In 0.4335 4.4515 3.5822
Sr 0.8515 4.4629 0.5139
Sr 2.7594 1.7983 2.0380
Sc 6.3016 1.7978 2.0367
Sc 4.8649 4.4495 3.5824
```

Its energy relative to the lowest polymorph listed for this composition is 0.105 eV/atom.

---

(3)
A plane-wave DFT calculation with PBE was carried out for an optimized crystal structure of Tb7Sn2Pb2.

```
11
Lattice="7.1228 -0.0028 -0.5876 0.0034 7.2507 0.0030 -1.0302 -0.0027 7.0724" Properties=species:S:1:pos:R:3 pbc="T T T"
Sn 4.8576 7.2477 1.5468
Sn 1.2384 -0.0026 4.9410
Pb 1.1218 3.6243 1.1938
Pb 4.9742 3.6208 5.2941
Tb 3.0453 1.8912 3.2449
Tb 2.5363 5.2374 6.7791
Tb 3.5597 2.0077 -0.2912
Tb 0.0000 0.0000 0.0000
Tb 6.6068 2.0049 2.9520
Tb -0.5108 5.2402 3.5358
Tb 3.0507 5.3539 3.2429
```

---

(4)
A plane-wave DFT calculation with PBE was carried out for an optimized crystal structure of HfAlCuTc.

```
4
Lattice="-2.5684 1.2683 -3.4102 -3.9481 -1.9521 -0.6607 -3.7588 2.2631 0.7644" Properties=species:S:1:pos:R:3 pbc="T T T"
Tc -7.7065 1.1844 -2.4799
Al 0.0000 0.0000 0.0000
Cu -2.5688 0.3948 -0.8266
Hf -5.1377 0.7896 -1.6532
```

---

(5)
A plane-wave DFT calculation with PBE was carried out for an optimized crystal structure of NaAcNiPb.

```
4
Lattice="5.1503 0.0000 0.0000 2.5751 4.4603 0.0000 2.5751 1.4868 4.2052" Properties=species:S:1:pos:R:3 pbc="T T T"
Ac 2.5751 1.4868 1.0513
Pb 7.7254 4.4603 3.1539
Na 5.1503 2.9735 2.1026
Ni 0.0000 0.0000 0.0000
```

---

(6)
A plane-wave DFT calculation with PBE was carried out for an optimized crystal structure of Nd3PPbO.

```
12
Lattice="-3.5203 1.8854 -1.1470 -4.0148 -2.8499 7.6373 3.6511 8.2434 2.3445" Properties=species:S:1:pos:R:3 pbc="T T T"
Nd -2.4806 2.0297 7.1870
Nd -3.8026 1.4930 2.8368
Nd -0.0814 5.7860 5.9980
Nd -5.6452 0.1184 6.2326
Nd -1.4034 5.2493 1.6477
Nd 1.7612 7.1606 2.6022
Pb -3.0963 5.4531 7.1787
Pb -0.7877 1.8259 1.6561
P -2.9451 -0.1047 5.1042
P -0.9389 7.3837 3.7306
O 0.9368 5.1202 1.7785
O -4.8208 2.1588 7.0562
```

The raw formation energy is -1621.9 meV/atom.

---

(7)
A plane-wave DFT calculation with PBE was carried out for an optimized crystal structure of BTeMo2.

```
4
Lattice="0.0000 3.1076 3.1076 3.1076 0.0000 3.1076 3.1076 3.1076 0.0000" Properties=species:S:1:pos:R:3 pbc="T T T"
Te 3.1076 3.1076 3.1076
Mo 1.5538 1.5538 1.5538
Mo 4.6614 4.6614 4.6614
B 0.0000 0.0000 0.0000
```

Its energy relative to the lowest polymorph listed for this composition is 0.000 eV/atom. The raw formation energy is 709.6 meV/atom.

---

(8)
A plane-wave DFT calculation with PBE was carried out for an optimized crystal structure of ZrFe2Cl.

```
4
Lattice="-2.8697 -2.5492 3.0231 -2.0631 -0.9739 -2.7795 2.0527 -2.9090 -0.5044" Properties=species:S:1:pos:R:3 pbc="T T T"
Fe -0.0052 -1.9415 -1.6420
Fe 0.0000 0.0000 0.0000
Zr -2.4664 -1.7615 0.1218
Cl -0.4085 -2.7291 1.2594
```

Its energy relative to the lowest polymorph listed for this composition is 0.395 eV/atom. The raw formation energy is 234.0 meV/atom.

---

| no. | total energy (eV per atom) |
| --- | --- |
| 1 | -6.579 |
| 2 | -3.794 |
| 3 | -4.567 |
| 4 | -7.320 |
| 5 | -3.826 |
| 6 | -6.352 |
| 7 | -7.161 |
| 8 | -6.596 |